Tm3Sc7Ni4: optimized geometry, PBE.

Summary:
Magnetic moment in μB/f.u.: 0.0
ρ in g cm⁻³: 5.9
E_tot in eV/atom: -6.017
ΔE_f in meV per atom: -241

Cell lengths 3.559, 9.223, 9.739 Å; angles 72.81, 79.47, 78.88 degrees
Atoms (fractional coordinates):
Ni  0.650  0.421  0.279
Ni  0.870  0.943  0.317
Ni  0.350  0.579  0.721
Ni  0.130  0.057  0.683
Tm  0.315  0.195  0.174
Tm  0.685  0.805  0.826
Tm  0.000  0.500  0.500
Sc  0.163  0.566  0.107
Sc  0.505  0.221  0.770
Sc  0.000  0.000  0.000
Sc  0.315  0.841  0.529
Sc  0.495  0.779  0.230
Sc  0.685  0.159  0.471
Sc  0.837  0.434  0.893